KUMnTe4 | GGA-PBE | optimized geometry

Summary:
- uncorrected formation energy (eV per atom) = -0.47
- total magnetization (μB/f.u.) = 0.4

Unit cell a=6.752 b=6.349 c=10.448 alpha=90.00 beta=108.32 gamma=90.00
Site moments in Bohr magnetons follow the coordinates.
Atoms (fractional coordinates):
K (0.803, 0.750, 0.980)  0.00
K (0.197, 0.250, 0.020)  0.00
U (0.681, 0.750, 0.419)  -0.97
U (0.319, 0.250, 0.581)  -0.97
Mn (0.357, 0.750, 0.376)  1.21
Mn (0.643, 0.250, 0.624)  1.21
Te (0.984, 0.504, 0.682)  0.01
Te (0.016, 0.004, 0.318)  0.01
Te (0.016, 0.496, 0.318)  0.01
Te (0.984, 0.996, 0.682)  0.01
Te (0.388, 0.750, 0.127)  0.03
Te (0.612, 0.250, 0.873)  0.03
Te (0.428, 0.750, 0.636)  0.02
Te (0.572, 0.250, 0.364)  0.02